(1)
# HfFeTc2

A relaxed structure of HfFeTc2 (PBE, Alexandria via LeMat-Bulk).

Values from the calculation:
**Symmetry**: Fm-3m
**Calculated total energy**: -39.28 eV for the cell shown
**ΔE to the lowest computed polymorph**: 0.19 eV/f.u.
**N(E_F)**: 3.6 states/eV per cell

Lattice parameters (Å, degrees): 4.4255 4.4255 4.4255 60.00 60.00 60.00
Last column: nearest neighbours and their distance in Å.
Fractional positions:
Hf1 0.0000 0.0000 0.0000  8 Tc 2.71
Fe1 0.5000 0.5000 0.5000  8 Tc 2.71
Tc1 0.2500 0.2500 0.2500  4 Hf 2.71, 4 Fe 2.71
Tc2 0.7500 0.7500 0.7500  4 Fe 2.71, 4 Hf 2.71

=====

(2)
# Mn2SnC2

A relaxed structure of Mn2SnC2 (PBE, Alexandria via LeMat-Bulk).

Values from the calculation:
**Symmetry**: I4/mmm
**Calculated total energy**: -37.44 eV for the cell shown
**ΔE to the lowest computed polymorph**: 0.00 eV/f.u.
**N(E_F)**: 2.5 states/eV per cell

Lattice parameters (Å, degrees): 6.8276 6.8276 6.8276 155.70 155.70 34.63
Last column: nearest neighbours and their distance in Å.
Fractional positions:
Mn1 0.1454 0.1454 0.0000  4 C 1.98
Mn2 0.8546 0.8546 0.0000  4 C 1.98
Sn1 0.5000 0.5000 0.0000  8 Mn 2.78, 4 Sn 2.87
C1 0.2500 0.7500 0.5000  4 Mn 1.98, 4 C 2.03
C2 0.7500 0.2500 0.5000  4 Mn 1.98, 4 C 2.03

=====

(3)
# BeCrSe2

A relaxed structure of BeCrSe2 (PBE, Alexandria via LeMat-Bulk).

Values from the calculation:
**Symmetry**: R-3m
**Calculated total energy**: -21.28 eV for the cell shown
**N(E_F)**: 1.7 states/eV per cell
**Formation energy from raw total energies**: -0.241 eV per atom

Lattice parameters (Å, degrees): 6.3726 6.3726 6.3726 32.79 32.79 32.79
Last column: nearest neighbours and their distance in Å.
Fractional positions:
Be1 0.0000 0.0000 0.0000  6 Se 2.49
Cr1 0.5000 0.5000 0.5000  6 Se 2.65
Se1 0.2577 0.2577 0.2577  3 Be 2.49, 3 Cr 2.65
Se2 0.7423 0.7423 0.7423  3 Be 2.49, 3 Cr 2.65